(1)
Computed, not measured: a relaxed structure of MgBeN2 at the PBE level of DFT.

The structure in POSCAR format:
```
MgBeN2
1.0
1.731 0.000 5.572
-0.865 1.499 5.572
-0.865 -1.499 5.572
Be Mg N
1 1 2
Direct
0.500 0.500 0.500
0.000 0.000 0.000
0.881 0.881 0.881
0.119 0.119 0.119
```

Values from the calculation:
**Calculated total energy**: -4.737 eV per atom
**Total moment**: 1.76 μB per cell
**SG**: R-3m
**DOS(E_F)**: 2.74 states/eV per cell
**Formation energy without anion corrections**: 3.02 eV per formula unit

(2)
Computed, not measured: a relaxed structure of BaMgAs2 at the PBE level of DFT.

The structure in POSCAR format:
```
BaMgAs2
1.0
-3.785 5.805 1.539
-5.659 0.792 4.211
6.537 -2.708 -0.572
As Ba Mg
2 1 1
Direct
0.923 0.923 0.000
0.775 0.275 0.500
0.523 0.523 0.000
0.280 0.780 0.500
```

Values from the calculation:
**Calculated total energy**: -3.640 eV per atom
**DFT formation energy**: -0.4363 eV/atom
**Total moment**: 0.00 μB per cell
**SG**: Imm2
**DOS(E_F)**: 1.74 states/eV per cell

(3)
Computed, not measured: a relaxed structure of RbGeTe at the PBE level of DFT.

The structure in POSCAR format:
```
RbGeTe
1.0
-0.732 4.960 -0.393
-3.466 -3.200 -1.745
-2.388 0.021 4.706
Rb Ge Te
1 1 1
Direct
0.000 0.000 0.500
0.333 0.667 0.000
0.667 0.333 0.000
```

Values from the calculation:
**Calculated total energy**: -3.199 eV per atom
**Total moment**: 0.00 μB per cell
**SG**: P-6m2
**DOS(E_F)**: 1.41 states/eV per cell
**Formation energy without anion corrections**: -0.87 eV per formula unit

(4)
Computed, not measured: a relaxed structure of HfGa2Ir at the PBE level of DFT.

The structure in POSCAR format:
```
HfGa2Ir
1.0
-2.879 1.507 -2.654
-4.065 -0.100 1.036
-1.939 4.453 1.317
Ir Hf Ga
1 1 2
Direct
0.000 0.000 0.000
0.500 0.500 0.500
0.729 0.729 0.814
0.271 0.271 0.186
```

Values from the calculation:
**Calculated total energy**: -6.660 eV per atom
**DFT formation energy**: -0.4428 eV/atom
**Total moment**: 0.00 μB per cell
**SG**: R-3m
**DOS(E_F)**: 2.26 states/eV per cell

(5)
Computed, not measured: a relaxed structure of YLuCdSn at the PBE level of DFT.

The structure in POSCAR format:
```
YLuCdSn
1.0
5.247 0.000 0.000
2.623 4.544 0.000
2.623 1.515 4.284
Y Lu Sn Cd
1 1 1 1
Direct
0.750 0.750 0.750
0.250 0.250 0.250
0.500 0.500 0.500
0.000 0.000 0.000
```

Values from the calculation:
**Calculated total energy**: -4.441 eV per atom
**DFT formation energy**: -0.4654 eV/atom
**Total moment**: 0.00 μB per cell
**SG**: F-43m
**DOS(E_F)**: 2.97 states/eV per cell

(6)
Computed, not measured: a relaxed structure of Nd6HoCd at the PBE level of DFT.

The structure in POSCAR format:
```
Nd6HoCd
1.0
6.590 0.033 -0.019
3.308 5.752 0.018
3.268 1.934 8.300
Nd Ho Cd
6 1 1
Direct
0.036 0.427 0.709
0.821 0.028 0.712
0.568 0.183 0.287
0.179 0.972 0.288
0.964 0.573 0.291
0.432 0.817 0.713
0.500 0.500 0.500
0.000 0.000 0.000
```

Values from the calculation:
**Calculated total energy**: -3.847 eV per atom
**DFT formation energy**: 0.4154 eV/atom
**Total moment**: 0.00 μB per cell
**SG**: P-1
**DOS(E_F)**: 12.12 states/eV per cell